1.
The following is a DFT calculation (SCAN) of BaCaRu2 at its PBEsol-relaxed geometry.

Geometry as POSCAR:
```
BaCaRu2
1.0
-0.714 1.441 -4.607
3.268 -3.495 0.985
-0.899 -4.615 -1.304
Ru Ca Ba
2 1 1
direct
0.250 0.500 0.250
0.000 0.000 0.000
0.750 0.500 0.750
0.500 0.000 0.500
```

Summary:
DOS(E_F)	5.8	states/eV/f.u.
size of the total moment	0.00	μB/cell
density	7.66	g/cm3
SG	I-4m2
DFT total energy	-115.16	eV per cell
ΔH_f (0 K)	927	meV per atom
calculated volume	20.58	A^3/atom

2.
The following is a DFT calculation (SCAN) of ScTc3Te at its PBEsol-relaxed geometry.

Geometry as POSCAR:
```
ScTc3Te
1.0
-2.225 2.923 3.000
-4.119 -2.141 -0.969
0.757 -3.060 3.543
Te Sc Tc
1 1 3
direct
0.000 0.000 0.000
0.500 0.500 0.500
0.000 0.500 0.000
0.000 0.000 0.500
0.500 0.000 0.000
```

Summary:
DOS(E_F)	4.9	states/eV/f.u.
size of the total moment	1.53	μB/cell
density	7.26	g/cm3
SG	Pm-3m
DFT total energy	-150.59	eV per cell
formation energy without anion corrections	6.08	eV/f.u.
calculated volume	21.34	A^3/atom